# 1
17
Lattice="6.7681 0.0000 -2.3929 -3.3840 5.8613 -2.3929 0.0000 0.0000 7.1786" Properties=species:S:1:pos:R:3 comment="Mg4Ge6Pd7 | Alexandria | PBE | relaxed" density_g_cm3=7.45 formation_energy_ev_per_atom=-0.566 n_ef_per_ev_cell=5.3 magnetic_moment_mub_per_fu=0.00 pbc="T T T"
Mg 3.3840 0.0000 -1.1964
Mg 1.6920 2.9307 1.1964
Mg -1.6920 2.9307 -1.1964
Mg 0.0000 0.0000 3.5893
Ge 4.6558 0.0000 3.2922
Ge 2.3279 4.0321 -3.2922
Ge -1.0561 1.8292 1.4936
Ge 2.1122 0.0000 1.4936
Ge 1.0561 1.8292 -1.4936
Ge -2.3279 4.0321 3.2922
Pd 3.3840 2.9307 -1.1964
Pd -0.8460 4.3960 1.1964
Pd 0.8460 4.3960 -1.1964
Pd 4.2300 1.4653 1.1964
Pd 0.0000 2.9307 3.5893
Pd 2.5380 1.4653 3.5893
Pd 0.0000 0.0000 0.0000

# 2
4
Lattice="-0.5281 2.4993 -3.3883 2.9008 -2.2569 -2.1169 -2.6009 -2.2006 -1.2178" Properties=species:S:1:pos:R:3 comment="LaNi2Os | Alexandria | PBE | relaxed" density_g_cm3=11.39 formation_energy_ev_per_atom=0.263 n_ef_per_ev_cell=6.5 magnetic_moment_mub_per_fu=0.45 relative_energy_mev_per_atom=398.6 pbc="T T T"
La 0.1500 -2.2288 -1.6673
Ni 0.0000 0.0000 0.0000
Ni 1.1863 0.1212 -2.7526
Os -1.5645 0.1494 -2.3031

# 3
8
Lattice="-2.0290 -1.1573 1.5485 3.3416 -7.7197 -1.3910 2.4092 4.9701 4.3351" Properties=species:S:1:pos:R:3 comment="TiPd4Pt3 | Alexandria | PBE | relaxed" density_g_cm3=13.63 formation_energy_ev_per_atom=-0.243 n_ef_per_ev_cell=8.4 magnetic_moment_mub_per_fu=0.00 relative_energy_mev_per_atom=0.0 pbc="T T T"
Pt 1.2171 0.2111 1.7525
Pt 2.5047 -4.1179 2.7402
Pt 1.6708 -3.8599 -0.6955
Pd 3.0590 -1.3851 2.9730
Pd 0.6628 -2.5218 1.5197
Pd 2.2054 -6.0855 0.8776
Pd 1.5164 2.1786 3.6151
Ti -1.0145 -0.5786 0.7743

# 4
12
Lattice="6.4514 0.0000 0.0000 0.0000 6.7763 0.0000 0.0000 -3.3881 6.1358" Properties=species:S:1:pos:R:3 comment="SrZnGa3Pt | Alexandria | PBE | relaxed" density_g_cm3=6.90 formation_energy_ev_per_atom=-0.318 n_ef_per_ev_cell=5.5 magnetic_moment_mub_per_fu=0.00 pbc="T T T"
Sr 4.8385 0.0000 3.3061
Sr 1.6128 3.3881 2.8297
Zn 1.6128 3.3881 6.0005
Zn 4.8385 0.0000 0.1354
Ga 1.6128 0.0000 2.2843
Ga 0.0000 2.0003 0.0000
Ga 3.2257 4.7759 0.0000
Ga 3.2257 2.0003 0.0000
Ga 0.0000 4.7759 0.0000
Ga 4.8385 3.3881 3.8515
Pt 1.6128 0.0000 4.6978
Pt 4.8385 3.3881 1.4380

# 5
8
Lattice="6.8312 -0.0003 0.0004 -0.0001 6.8312 0.0003 -3.4150 -3.4150 4.4424" Properties=species:S:1:pos:R:3 comment="Tm5In2H | Alexandria | PBE | relaxed" total_energy_ev_per_fu=-32.60 density_g_cm3=8.61 n_ef_per_ev_cell=8.9 magnetic_moment_mub_per_fu=0.00 pbc="T T T"
Tm 5.1097 1.7206 0.0226
Tm 1.7192 1.7191 0.0220
Tm 5.1110 5.1109 0.0232
Tm 1.7207 5.1096 0.0225
Tm 3.4156 3.4155 2.2804
In 0.0007 3.4169 2.2537
In 3.4169 0.0006 2.2537
H 0.0003 0.0003 0.0280

# 6
12
Lattice="5.2741 0.0170 -1.5408 -1.4742 9.4870 -4.9424 0.1011 -0.8282 10.1764" Properties=species:S:1:pos:R:3 comment="Ac6La5Nd | Alexandria | PBE | relaxed" density_g_cm3=7.50 formation_energy_ev_per_atom=0.020 n_ef_per_ev_cell=22.5 magnetic_moment_mub_per_fu=0.00 pbc="T T T"
Ac 3.6013 5.0039 2.6141
Ac 4.3412 0.2456 5.0929
Ac 1.5292 7.1345 -4.4827
Ac 2.2707 2.3694 -2.0005
Ac -0.4402 8.4302 -1.3997
Ac 0.2997 3.6719 1.0791
Nd 0.0000 0.0000 0.0000
La 3.3036 1.3158 1.5401
La 1.3367 2.6210 4.6324
La -0.7371 4.7435 -2.4712
La 2.5643 6.0547 -0.9392
La 0.5974 7.3600 2.1531

# 7
4
Lattice="5.0842 0.0000 0.0000 2.5421 4.4031 0.0000 2.5421 1.4677 4.1513" Properties=species:S:1:pos:R:3 comment="LaHoGaRh | Alexandria | PBE | relaxed" density_g_cm3=8.51 formation_energy_ev_per_atom=-0.593 n_ef_per_ev_cell=3.8 magnetic_moment_mub_per_fu=0.00 relative_energy_mev_per_atom=101.4 pbc="T T T"
Rh 5.0842 2.9354 2.0756
Ho 7.6264 4.4031 3.1134
Ga 0.0000 0.0000 0.0000
La 2.5421 1.4677 1.0378

# 8
12
Lattice="-0.8193 4.9469 -1.3787 -0.9181 -2.3755 -7.9781 -7.2286 -0.8913 1.0973" Properties=species:S:1:pos:R:3 comment="BaMg2CdGa2 | Alexandria | PBE | relaxed" density_g_cm3=4.53 formation_energy_ev_per_atom=-0.089 n_ef_per_ev_cell=4.9 magnetic_moment_mub_per_fu=0.00 pbc="T T T"
Ba -0.8687 1.2857 -4.6784
Ba -3.6143 -0.4457 0.5486
Mg -2.0033 2.0048 -1.4239
Mg -2.7006 -1.7363 -4.6253
Mg -6.9627 -0.3247 -6.8356
Mg -5.4462 -1.5305 -2.2555
Cd 0.0000 0.0000 0.0000
Cd -4.4830 0.8401 -4.1297
Ga -3.4661 0.3034 -6.6595
Ga -5.4999 1.3767 -1.5999
Ga -6.5925 -2.4131 -4.7413
Ga -1.5543 -0.8537 -2.1395

# 9
5
Lattice="-2.8293 -2.5074 3.2288 -1.6284 -2.9105 -3.6871 3.0910 -2.6014 0.6884" Properties=species:S:1:pos:R:3 comment="SrBSCl2 | Alexandria | PBE | relaxed" e_form_raw_kj_per_mol_atoms=-68 density_g_cm3=3.30 n_ef_per_ev_cell=0.2 magnetic_moment_mub_per_fu=0.00 relative_energy_mev_per_atom=0.0 pbc="T T T"
Sr -0.6834 -4.0096 0.1150
S 1.5455 -1.3007 0.3442
B 0.0000 0.0000 0.0000
Cl -0.8142 -1.4552 -1.8436
Cl -1.4147 -1.2537 1.6144

# 10
6
Lattice="0.0000 4.0363 4.0363 4.0363 0.0000 4.0363 4.0363 4.0363 0.0000" Properties=species:S:1:pos:R:3 comment="Mg4SbP | Alexandria | PBE | relaxed" e_form_raw_kj_per_mol_atoms=18 density_g_cm3=3.16 n_ef_per_ev_cell=4.7 magnetic_moment_mub_per_fu=0.00 pbc="T T T"
Mg 3.0299 5.0427 5.0427
Mg 5.0427 5.0427 3.0299
Mg 5.0427 3.0299 5.0427
Mg 3.0299 3.0299 3.0299
Sb 0.0000 0.0000 0.0000
P 6.0545 6.0545 6.0545

Please write out number 1 again, unchanged.
17
Lattice="6.7681 0.0000 -2.3929 -3.3840 5.8613 -2.3929 0.0000 0.0000 7.1786" Properties=species:S:1:pos:R:3 comment="Mg4Ge6Pd7 | Alexandria | PBE | relaxed" density_g_cm3=7.45 formation_energy_ev_per_atom=-0.566 n_ef_per_ev_cell=5.3 magnetic_moment_mub_per_fu=0.00 pbc="T T T"
Mg 3.3840 0.0000 -1.1964
Mg 1.6920 2.9307 1.1964
Mg -1.6920 2.9307 -1.1964
Mg 0.0000 0.0000 3.5893
Ge 4.6558 0.0000 3.2922
Ge 2.3279 4.0321 -3.2922
Ge -1.0561 1.8292 1.4936
Ge 2.1122 0.0000 1.4936
Ge 1.0561 1.8292 -1.4936
Ge -2.3279 4.0321 3.2922
Pd 3.3840 2.9307 -1.1964
Pd -0.8460 4.3960 1.1964
Pd 0.8460 4.3960 -1.1964
Pd 4.2300 1.4653 1.1964
Pd 0.0000 2.9307 3.5893
Pd 2.5380 1.4653 3.5893
Pd 0.0000 0.0000 0.0000